# 1
CsTbSeS (PBE, relaxed); SG = No. 160; E_form (uncorrected) = -170 kJ/mol of atoms; crystal system = trigonal
1.0
4.188 0.000 0.000
-2.094 3.628 -0.001
-2.093 -1.210 8.319
S Se Cs Tb
1 1 1 1
Cartesian
0.396 -0.267 5.725
-1.698 3.363 0.457
2.490 0.945 3.052
-1.697 0.943 7.151

=====

# 2
NaOsS2N (PBE, relaxed); SG = No. 123; E_form (uncorrected) = 234 kJ/mol of atoms; crystal system = tetragonal; energy relative to the lowest polymorph listed for this composition = 11.750 eV per formula unit
1.0
-1.358 3.488 -2.757
2.312 -1.909 -3.553
-3.153 -2.001 -0.977
S Os Na N
2 1 1 1
Cartesian
-0.679 1.744 -1.379
1.156 -0.954 -1.777
-1.100 -0.211 -3.644
0.000 0.000 0.000
-1.577 -1.000 -0.489

=====

# 3
V4CoRe (PBE, relaxed); SG = No. 12; E_form = 2.59 eV/f.u.; crystal system = monoclinic
1.0
-0.052 -3.548 -1.874
-0.555 -1.851 3.520
-5.735 0.431 -0.667
V Re Co
4 1 1
Cartesian
-1.762 -0.812 1.575
-4.504 -0.608 1.256
-2.064 -3.512 2.396
-4.808 -3.307 2.081
-6.027 -2.269 0.145
-3.411 -1.636 3.176

=====

no.,DOS(E_F) (states/eV/cell),electronic total energy (eV/atom)
1,0.00,-5.03
2,7.64,-3.40
3,8.33,-8.91